Entry 1:
Here is a geometry-optimized Si2Rh structure from the Alexandria database. Energies are from PBE.

N(E_F) in states/eV per cell: 5.54
Magnetic moment in μB/f.u.: 0.000
Symmetry: No. 194
Raw formation energy in eV per atom: 0.1362

Cell: 4.046 4.046 6.155 Å, 90.00 90.00 120.00°
Fractional positions:
Si (0.333, 0.667, 0.052)
Si (0.333, 0.667, 0.448)
Si (0.667, 0.333, 0.552)
Si (0.667, 0.333, 0.948)
Rh (0.000, 0.000, 0.250)
Rh (0.000, 0.000, 0.750)

---

Entry 2:
Here is a geometry-optimized Si5Rh structure from the Alexandria database. Energies are from PBE.

N(E_F) in states/eV per cell: 3.94
Distance to the lowest polymorph of the same formula in meV per atom: 115
Magnetic moment in μB/f.u.: 0.000
Symmetry: No. 123
Raw formation energy in eV per atom: 0.1497

Cell: 2.831 2.831 10.580 Å, 90.00 90.00 90.00°
Fractional positions:
Si (0.000, 0.000, 0.000)
Si (0.000, 0.000, 0.347)
Si (0.000, 0.000, 0.653)
Si (0.500, 0.500, 0.170)
Si (0.500, 0.500, 0.830)
Rh (0.500, 0.500, 0.500)

---

Entry 3:
Here is a geometry-optimized Si5Rh3 structure from the Alexandria database. Energies are from PBE.

N(E_F) in states/eV per cell: 8.99
Distance to the lowest polymorph of the same formula in meV per atom: 14
Magnetic moment in μB/f.u.: 0.000
Symmetry: No. 193
Raw formation energy in eV per atom: -0.2285

Cell: 7.516 7.516 4.677 Å, 90.00 90.00 120.00°
Fractional positions:
Si (0.000, 0.258, 0.250)
Si (0.000, 0.742, 0.750)
Si (0.258, 0.000, 0.250)
Si (0.258, 0.258, 0.750)
Si (0.333, 0.667, 0.000)
Si (0.333, 0.667, 0.500)
Si (0.667, 0.333, 0.000)
Si (0.667, 0.333, 0.500)
Si (0.742, 0.000, 0.750)
Si (0.742, 0.742, 0.250)
Rh (0.000, 0.369, 0.750)
Rh (0.000, 0.631, 0.250)
Rh (0.369, 0.000, 0.750)
Rh (0.369, 0.369, 0.250)
Rh (0.631, 0.000, 0.250)
Rh (0.631, 0.631, 0.750)

---

Entry 4:
Here is a geometry-optimized SiRh structure from the Alexandria database. Energies are from PBE.

N(E_F) in states/eV per cell: 2.17
Magnetic moment in μB/f.u.: 0.000
Symmetry: No. 194
Raw formation energy in eV per atom: -0.3224

Cell: 4.104 4.104 4.799 Å, 90.00 90.00 120.00°
Fractional positions:
Si (0.333, 0.667, 0.250)
Si (0.667, 0.333, 0.750)
Rh (0.333, 0.667, 0.750)
Rh (0.667, 0.333, 0.250)

---

Entry 5:
Here is a geometry-optimized Si5Rh structure from the Alexandria database. Energies are from PBE.

N(E_F) in states/eV per cell: 3.10
Distance to the lowest polymorph of the same formula in meV per atom: 58
Magnetic moment in μB/f.u.: 0.000
Symmetry: No. 38
Raw formation energy in eV per atom: 0.0923

Cell: 4.611 6.027 6.027 Å, 31.70 90.00 90.00°
Fractional positions:
Si (0.000, 0.000, 0.000)
Si (0.000, 0.324, 0.324)
Si (0.000, 0.663, 0.663)
Si (0.500, 0.089, 0.089)
Si (0.500, 0.417, 0.417)
Rh (0.500, 0.749, 0.749)

---

Entry 6:
Here is a geometry-optimized Si2Rh structure from the Alexandria database. Energies are from PBE.

N(E_F) in states/eV per cell: 1.34
Magnetic moment in μB/f.u.: 0.000
Symmetry: No. 191
Raw formation energy in eV per atom: -0.1182

Cell: 4.360 4.360 2.692 Å, 90.00 90.00 120.00°
Fractional positions:
Si (0.333, 0.667, 0.000)
Si (0.667, 0.333, 0.000)
Rh (0.000, 0.000, 0.000)

---

Entry 7:
Here is a geometry-optimized SiRh structure from the Alexandria database. Energies are from PBE.

N(E_F) in states/eV per cell: 1.31
Magnetic moment in μB/f.u.: 0.000
Symmetry: No. 129
Raw formation energy in eV per atom: -0.6504

Cell: 3.805 3.805 3.828 Å, 90.00 90.00 90.00°
Fractional positions:
Si (0.250, 0.750, 0.000)
Si (0.750, 0.250, 0.000)
Rh (0.250, 0.250, 0.383)
Rh (0.750, 0.750, 0.617)

---

Entry 8:
Here is a geometry-optimized SmSiRh3 structure from the Alexandria database. Energies are from PBE.

N(E_F) in states/eV per cell: 5.71
Distance to the lowest polymorph of the same formula in meV per atom: 0
Magnetic moment in μB/f.u.: 0.000
Symmetry: No. 74
Raw formation energy in eV per atom: -0.6757

Cell: 6.273 6.273 6.273 Å, 127.78 104.57 97.80°
Fractional positions:
Sm (0.256, 0.006, 0.250)
Sm (0.744, 0.994, 0.750)
Si (0.000, 0.500, 0.500)
Si (0.500, 0.500, 0.000)
Rh (0.083, 0.333, 0.750)
Rh (0.292, 0.000, 0.792)
Rh (0.292, 0.500, 0.292)
Rh (0.708, 0.000, 0.208)
Rh (0.708, 0.500, 0.708)
Rh (0.917, 0.667, 0.250)

---

Entry 9:
Here is a geometry-optimized SmSiRh structure from the Alexandria database. Energies are from PBE.

N(E_F) in states/eV per cell: 3.00
Magnetic moment in μB/f.u.: 0.000
Symmetry: No. 187
Raw formation energy in eV per atom: -0.8963

Cell: 4.192 4.192 4.001 Å, 90.00 90.00 120.00°
Fractional positions:
Sm (0.000, 0.000, 0.000)
Si (0.667, 0.333, 0.500)
Rh (0.333, 0.667, 0.500)

---

Entry 10:
Here is a geometry-optimized Sm3Si3Rh2 structure from the Alexandria database. Energies are from PBE.

N(E_F) in states/eV per cell: 9.08
Distance to the lowest polymorph of the same formula in meV per atom: 0
Magnetic moment in μB/f.u.: 0.000
Symmetry: No. 63
Raw formation energy in eV per atom: -0.9241

Cell: 5.851 5.851 14.020 Å, 90.00 90.00 137.57°
Fractional positions:
Sm (0.079, 0.921, 0.614)
Sm (0.079, 0.921, 0.886)
Sm (0.358, 0.642, 0.750)
Sm (0.642, 0.358, 0.250)
Sm (0.921, 0.079, 0.114)
Sm (0.921, 0.079, 0.386)
Si (0.332, 0.668, 0.250)
Si (0.386, 0.614, 0.540)
Si (0.386, 0.614, 0.960)
Si (0.614, 0.386, 0.040)
Si (0.614, 0.386, 0.460)
Si (0.668, 0.332, 0.750)
Rh (0.217, 0.783, 0.077)
Rh (0.217, 0.783, 0.423)
Rh (0.783, 0.217, 0.577)
Rh (0.783, 0.217, 0.923)

---

Entry 11:
Here is a geometry-optimized Sm3Si3Rh2 structure from the Alexandria database. Energies are from PBE.

N(E_F) in states/eV per cell: 21.67
Distance to the lowest polymorph of the same formula in meV per atom: 23
Magnetic moment in μB/f.u.: 0.000
Symmetry: No. 62
Raw formation energy in eV per atom: -0.9008

Cell: 7.681 14.282 6.057 Å, 90.00 90.00 90.00°
Fractional positions:
Sm (0.021, 0.108, 0.138)
Sm (0.021, 0.392, 0.138)
Sm (0.163, 0.250, 0.630)
Sm (0.337, 0.750, 0.130)
Sm (0.479, 0.608, 0.638)
Sm (0.479, 0.892, 0.638)
Sm (0.521, 0.108, 0.362)
Sm (0.521, 0.392, 0.362)
Sm (0.663, 0.250, 0.870)
Sm (0.837, 0.750, 0.370)
Sm (0.979, 0.608, 0.862)
Sm (0.979, 0.892, 0.862)
Si (0.176, 0.045, 0.603)
Si (0.176, 0.455, 0.603)
Si (0.190, 0.750, 0.595)
Si (0.310, 0.250, 0.095)
Si (0.324, 0.545, 0.103)
Si (0.324, 0.955, 0.103)
Si (0.676, 0.045, 0.897)
Si (0.676, 0.455, 0.897)
Si (0.690, 0.750, 0.905)
Si (0.810, 0.250, 0.405)
Si (0.824, 0.545, 0.397)
Si (0.824, 0.955, 0.397)
Rh (0.128, 0.592, 0.381)
Rh (0.128, 0.908, 0.381)
Rh (0.372, 0.092, 0.881)
Rh (0.372, 0.408, 0.881)
Rh (0.628, 0.592, 0.119)
Rh (0.628, 0.908, 0.119)
Rh (0.872, 0.092, 0.619)
Rh (0.872, 0.408, 0.619)

---

Copy entry 7 word for word.
Here is a geometry-optimized SiRh structure from the Alexandria database. Energies are from PBE.

N(E_F) in states/eV per cell: 1.31
Magnetic moment in μB/f.u.: 0.000
Symmetry: No. 129
Raw formation energy in eV per atom: -0.6504

Cell: 3.805 3.805 3.828 Å, 90.00 90.00 90.00°
Fractional positions:
Si (0.250, 0.750, 0.000)
Si (0.750, 0.250, 0.000)
Rh (0.250, 0.250, 0.383)
Rh (0.750, 0.750, 0.617)

---

> Which of these has the highest N(E_F)?

number 11

---

> N(E_F) of number 4 (SiRh)?

2.17 states/eV per cell

---

> Look up the raw formation energy of the eleventh one.

-0.9008 eV per atom